No. 1
Compound: ZnP3Rh
Source: the Alexandria database
Functional: PBE
Structure: relaxed

Spin magnetization: 0.00 μB per formula unit
DOS at the Fermi energy: 5.491 states/eV per cell
Formation energy: 0.69 eV per atom
Calculated total energy: -4.28 eV/atom

Cell: 4.6281 4.6281 4.6281 Å, 90.00 90.00 90.00°
Fractional coordinates of all 5 atoms:
1 P 0.0000 0.5000 0.0000
2 P 0.0000 0.0000 0.5000
3 P 0.5000 0.0000 0.0000
4 Zn 0.5000 0.5000 0.5000
5 Rh 0.0000 0.0000 0.0000


No. 2
Compound: ZnPRh2
Source: the Alexandria database
Functional: PBE
Structure: relaxed

Spin magnetization: 0.00 μB per formula unit
DOS at the Fermi energy: 1.824 states/eV per cell
Formation energy: -0.40 eV per atom
Calculated total energy: -5.74 eV/atom

Cell: 4.5906 4.5906 4.5906 Å, 134.69 122.69 75.92°
Fractional coordinates of all 4 atoms:
1 Rh 0.7017 0.7017 0.0000
2 Rh 0.2983 0.2983 0.0000
3 P 0.5000 0.0000 0.5000
4 Zn 0.0000 0.5000 0.5000


No. 3
Compound: ZnPRh2
Source: the Alexandria database
Functional: PBE
Structure: relaxed

Spin magnetization: 0.00 μB per formula unit
DOS at the Fermi energy: 2.515 states/eV per cell
Formation energy: -0.43 eV per atom
Calculated total energy: -5.77 eV/atom

Cell: 2.8651 2.8651 6.6390 Å, 90.00 90.00 90.00°
Fractional coordinates of all 4 atoms:
1 Zn 0.5000 0.5000 0.0000
2 P 0.5000 0.5000 0.5000
3 Rh 0.0000 0.0000 0.7160
4 Rh 0.0000 0.0000 0.2840


No. 4
Compound: ZnPRh
Source: the Alexandria database
Functional: PBE
Structure: relaxed

Spin magnetization: 0.00 μB per formula unit
DOS at the Fermi energy: 1.552 states/eV per cell
Formation energy: 0.21 eV per atom
Calculated total energy: -4.47 eV/atom

Cell: 4.0736 4.0736 4.0736 Å, 60.00 60.00 60.00°
Fractional coordinates of all 3 atoms:
1 Zn 0.2500 0.2500 0.2500
2 P 0.0000 0.0000 0.0000
3 Rh 0.5000 0.5000 0.5000


No. 5
Compound: ZnPRh2
Source: the Alexandria database
Functional: PBE
Structure: relaxed

Spin magnetization: 0.37 μB per formula unit
DOS at the Fermi energy: 3.393 states/eV per cell
Formation energy: -0.12 eV per atom
Calculated total energy: -5.47 eV/atom

Cell: 8.2045 8.2045 8.2045 Å, 20.25 20.25 20.25°
Each line ends with the local moment (μB).
Fractional coordinates of all 4 atoms:
1 Rh 0.9904 0.9904 0.9904  0.03
2 Rh 0.7522 0.7522 0.7522  0.34
3 P 0.2563 0.2563 0.2563  0.00
4 Zn 0.5010 0.5010 0.5010  -0.01


No. 6
Compound: ZnPRh2
Source: the Alexandria database
Functional: PBE
Structure: relaxed

Spin magnetization: 0.00 μB per formula unit
DOS at the Fermi energy: 1.759 states/eV per cell
Formation energy: -0.45 eV per atom
Calculated total energy: -5.79 eV/atom

Cell: 5.8551 5.8551 5.8551 Å, 151.01 143.38 47.37°
Fractional coordinates of all 4 atoms:
1 Rh 0.9479 0.9479 0.0000
2 Rh 0.2233 0.7233 0.5000
3 P 0.7836 0.2836 0.5000
4 Zn 0.5451 0.5451 0.0000


No. 7
Compound: Zn4PRh
Source: the Alexandria database
Functional: PBE
Structure: relaxed

Spin magnetization: 0.00 μB per formula unit
DOS at the Fermi energy: 0.150 states/eV per cell
Formation energy: 0.07 eV per atom
Calculated total energy: -2.91 eV/atom

Cell: 4.9832 4.9832 4.9832 Å, 60.00 60.00 60.00°
Fractional coordinates of all 6 atoms:
1 Zn 0.3744 0.8768 0.3744
2 Zn 0.8768 0.3744 0.3744
3 Zn 0.3744 0.3744 0.8768
4 Zn 0.3744 0.3744 0.3744
5 Rh 0.0000 0.0000 0.0000
6 P 0.7500 0.7500 0.7500


No. 8
Compound: ZnPRh2
Source: the Alexandria database
Functional: PBE
Structure: relaxed

Spin magnetization: 0.00 μB per formula unit
DOS at the Fermi energy: 4.833 states/eV per cell
Formation energy: 0.05 eV per atom
Calculated total energy: -5.30 eV/atom

Cell: 4.3127 4.3127 4.3127 Å, 60.00 60.00 60.00°
Fractional coordinates of all 4 atoms:
1 Rh 0.0000 0.0000 0.0000
2 Rh 0.7500 0.7500 0.7500
3 Zn 0.2500 0.2500 0.2500
4 P 0.5000 0.5000 0.5000